# 1
Entry from Alexandria: a relaxed DyPuZn crystal (PBE).

a = 3.6365 Å, b = 4.9512 Å, c = 8.2223 Å
α = 90.00°, β = 102.78°, γ = 90.00°
Fractional positions:
Pu 0.7398 0.2500 0.4797
Pu 0.2602 0.7500 0.5203
Zn 0.9140 0.7500 0.8279
Dy 0.5758 0.7500 0.1516
Dy 0.4242 0.2500 0.8484
Zn 0.0860 0.2500 0.1721

Summary:
E above lowest polymorph (eV per atom): 0.0000
Magnetization (Bohr magnetons per cell): 11.64
Density of states at the Fermi level (states/eV/cell): 16.2
Mass density (g/cm3): 10.86
Electronic total energy (eV per atom): -6.842

***

# 2
Entry from Alexandria: a relaxed Cs5Ce2O6 crystal (PBE).

a = 7.5948 Å, b = 7.5948 Å, c = 15.5596 Å
α = 78.45°, β = 78.45°, γ = 69.42°
Fractional positions:
Cs 0.9651 0.7351 0.2122
O 0.3878 0.3089 0.6349
O 0.6911 0.6122 0.8651
O 0.4583 0.1317 0.4215
Ce 0.1455 0.3115 0.0643
Ce 0.3115 0.1455 0.5643
Cs 0.2277 0.7094 0.5136
O 0.9271 0.9341 0.8913
O 0.3089 0.3878 0.1349
Cs 0.4176 0.5824 0.7500
O 0.0659 0.0729 0.6087
O 0.9341 0.9271 0.3913
O 0.0729 0.0659 0.1087
Cs 0.2649 0.0349 0.2878
O 0.8683 0.5417 0.0785
Cs 0.0349 0.2649 0.7878
O 0.6122 0.6911 0.3651
Cs 0.7094 0.2277 0.0136
Cs 0.5824 0.4176 0.2500
O 0.1317 0.4583 0.9215
Cs 0.2906 0.7723 0.9864
Cs 0.7351 0.9651 0.7122
Ce 0.8545 0.6885 0.9357
O 0.5417 0.8683 0.5785
Cs 0.7723 0.2906 0.4864
Ce 0.6885 0.8545 0.4357

Summary:
Magnetization (Bohr magnetons per cell): 2.05
Density of states at the Fermi level (states/eV/cell): 11.2
Formation energy without anion corrections (eV per formula unit): -26.76
Mass density (g/cm3): 4.24
Electronic total energy (eV per atom): -5.588

***

# 3
Entry from Alexandria: a relaxed In2AgSn crystal (PBE).

a = 4.6141 Å, b = 4.6141 Å, c = 5.7830 Å
α = 90.00°, β = 90.00°, γ = 120.00°
Fractional positions:
In 0.3333 0.6667 0.2163
Ag 0.0000 0.0000 0.0000
Sn 0.0000 0.0000 0.5000
In 0.6667 0.3333 0.7837

Summary:
E above lowest polymorph (eV per atom): 0.0136
Magnetization (Bohr magnetons per cell): 0.00
Density of states at the Fermi level (states/eV/cell): 1.0
Mass density (g/cm3): 7.10
Electronic total energy (eV per atom): -3.028

***

# 4
Entry from Alexandria: a relaxed H2RhCl2 crystal (PBE).

a = 6.2280 Å, b = 6.2280 Å, c = 3.5204 Å
α = 90.00°, β = 90.00°, γ = 90.00°
Fractional positions:
Rh 0.5000 0.5000 0.0000
H 0.7503 0.7497 0.0000
H 0.2497 0.2503 0.0000
Cl 0.2507 0.7507 0.5000
H 0.7497 0.2497 0.0000
Cl 0.7493 0.2493 0.5000
H 0.2503 0.7503 0.0000
Rh 0.0000 0.0000 0.0000
Cl 0.7507 0.7493 0.5000
Cl 0.2493 0.2507 0.5000

Summary:
E above lowest polymorph (eV per atom): 0.3826
Magnetization (Bohr magnetons per cell): 0.00
Density of states at the Fermi level (states/eV/cell): 5.7
Mass density (g/cm3): 4.28
Electronic total energy (eV per atom): -2.989

***

# 5
Entry from Alexandria: a relaxed AsRuPtSe2 crystal (PBE).

a = 4.8420 Å, b = 4.8420 Å, c = 4.6296 Å
α = 90.00°, β = 90.00°, γ = 90.00°
Fractional positions:
Se 0.0000 0.5000 0.0000
Ru 0.0000 0.0000 0.0000
As 0.0000 0.0000 0.5000
Pt 0.5000 0.5000 0.5000
Se 0.5000 0.0000 0.0000

Summary:
E above lowest polymorph (eV per atom): 0.0000
Magnetization (Bohr magnetons per cell): 0.00
Density of states at the Fermi level (states/eV/cell): 7.3
Formation energy without anion corrections (eV per formula unit): 4.03
Mass density (g/cm3): 8.09
Electronic total energy (eV per atom): -4.582

***

# 6
Entry from Alexandria: a relaxed TbHo3As4 crystal (PBE).

a = 4.1110 Å, b = 7.1168 Å, c = 7.1168 Å
α = 109.47°, β = 90.00°, γ = 90.00°
Fractional positions:
As 0.5000 0.2508 0.7492
Ho 0.0000 0.5000 0.0000
Ho 0.0000 0.0000 0.5000
Ho 0.5000 0.5000 0.5000
Tb 0.5000 0.0000 0.0000
As 0.5000 0.7492 0.2508
As 0.0000 0.7483 0.7483
As 0.0000 0.2517 0.2517

Summary:
E above lowest polymorph (eV per atom): 0.0032
Magnetization (Bohr magnetons per cell): 0.00
Density of states at the Fermi level (states/eV/cell): 1.0
Mass density (g/cm3): 8.06
Electronic total energy (eV per atom): -6.152

***

# 7
Entry from Alexandria: a relaxed HfAlCd2Pt crystal (PBE).

a = 5.3823 Å, b = 5.2526 Å, c = 5.3823 Å
α = 90.00°, β = 90.00°, γ = 90.00°
Fractional positions:
Al 0.0000 0.5000 0.0000
Hf 0.0000 0.0000 0.0000
Pt 0.5000 0.5000 0.5000
Cd 0.0000 0.0000 0.5000
Cd 0.5000 0.0000 0.0000

Summary:
Magnetization (Bohr magnetons per cell): 0.99
Density of states at the Fermi level (states/eV/cell): 5.8
Mass density (g/cm3): 6.82
Electronic total energy (eV per atom): -2.886

***

# 8
Entry from Alexandria: a relaxed ScSiGe2Te crystal (PBE).

a = 5.3254 Å, b = 5.0661 Å, c = 5.3254 Å
α = 90.00°, β = 90.00°, γ = 90.00°
Fractional positions:
Ge 0.0000 0.0000 0.5000
Si 0.0000 0.5000 0.0000
Ge 0.5000 0.0000 0.0000
Sc 0.5000 0.5000 0.5000
Te 0.0000 0.0000 0.0000

Summary:
Magnetization (Bohr magnetons per cell): 0.00
Density of states at the Fermi level (states/eV/cell): 6.3
Formation energy without anion corrections (eV per formula unit): 4.78
Mass density (g/cm3): 4.00
Electronic total energy (eV per atom): -3.870

***

# 9
Entry from Alexandria: a relaxed Sb2AuS2 crystal (PBE).

a = 3.9601 Å, b = 5.8415 Å, c = 12.2346 Å
α = 95.34°, β = 90.00°, γ = 90.00°
Fractional positions:
Sb 0.2500 0.9364 0.7767
Sb 0.7500 0.3644 0.6142
Sb 0.2500 0.6356 0.3858
S 0.2500 0.5071 0.7614
S 0.7500 0.7495 0.5450
Au 0.7500 0.9773 0.9236
S 0.7500 0.4929 0.2386
Sb 0.7500 0.0636 0.2233
Au 0.2500 0.0227 0.0764
S 0.2500 0.2505 0.4550

Summary:
E above lowest polymorph (eV per atom): 0.0000
Magnetization (Bohr magnetons per cell): 0.00
Density of states at the Fermi level (states/eV/cell): 2.0
Formation energy without anion corrections (eV per formula unit): -0.56
Mass density (g/cm3): 5.95
Electronic total energy (eV per atom): -4.068

***

# 10
Entry from Alexandria: a relaxed SmYSe3 crystal (PBE).

a = 4.0964 Å, b = 8.1352 Å, c = 8.2404 Å
α = 94.70°, β = 90.00°, γ = 90.00°
Fractional positions:
Sm 0.7500 0.6184 0.7700
Se 0.2500 0.8951 0.6801
Se 0.7500 0.6227 0.3892
Sm 0.2500 0.3816 0.2300
Se 0.7500 0.3183 0.9788
Y 0.7500 0.1449 0.6782
Se 0.2500 0.3773 0.6108
Se 0.7500 0.1049 0.3199
Se 0.2500 0.6817 0.0212
Y 0.2500 0.8551 0.3218

Summary:
E above lowest polymorph (eV per atom): 0.0000
Magnetization (Bohr magnetons per cell): 0.00
Formation energy without anion corrections (eV per formula unit): -9.34
Mass density (g/cm3): 5.78
Electronic total energy (eV per atom): -6.195

***

# 11
Entry from Alexandria: a relaxed La8CuPt3I4 crystal (PBE).

a = 8.6603 Å, b = 9.6381 Å, c = 8.6824 Å
α = 116.90°, β = 119.92°, γ = 90.00°
Fractional positions:
I 0.0000 0.0000 0.0000
La 0.7682 0.3117 0.5363
Pt 0.5000 0.5000 0.0000
Pt 0.0000 0.5000 0.5000
Pt 0.5000 0.5000 0.5000
La 0.7257 0.6883 0.9576
La 0.2318 0.6883 0.9576
La 0.2318 0.6883 0.4637
La 0.2694 0.3094 0.5388
La 0.7306 0.6906 0.4612
I 0.0000 0.0000 0.5000
I 0.5000 0.0000 0.5000
La 0.7682 0.3117 0.0424
La 0.2743 0.3117 0.0424
I 0.5000 0.0000 0.0000
Cu 0.0000 0.5000 0.0000

Summary:
Magnetization (Bohr magnetons per cell): 0.00
Density of states at the Fermi level (states/eV/cell): 12.2
Formation energy without anion corrections (eV per formula unit): -16.81
Mass density (g/cm3): 7.03
Electronic total energy (eV per atom): -5.291

***

# 12
Entry from Alexandria: a relaxed V2SbS crystal (PBE).

a = 3.4235 Å, b = 3.4235 Å, c = 6.7814 Å
α = 75.38°, β = 75.38°, γ = 60.00°
Fractional positions:
V 0.7242 0.7242 0.8274
V 0.2758 0.2758 0.1726
S 0.0000 0.0000 0.0000
Sb 0.5000 0.5000 0.5000

Summary:
E above lowest polymorph (eV per atom): 0.0000
Magnetization (Bohr magnetons per cell): 0.00
Density of states at the Fermi level (states/eV/cell): 3.5
Formation energy without anion corrections (eV per formula unit): -1.40
Mass density (g/cm3): 6.45
Electronic total energy (eV per atom): -6.972